No. 1
Crystalline Tb6PmNdTm2 at its relaxed geometry. Source: Alexandria via LeMat-Bulk, functional PBE-GGA.

## Properties
E = -4.503 eV/atom
formation enthalpy at 0 K = 0.12 eV/atom
size of the total moment = 0.00 μB/cell

extended XYZ file:
```
20
Lattice="4.598 -7.488 0.000 4.598 7.488 0.000 -1.128 0.000 9.475" Properties=species:S:1:pos:R:3 pbc="T T T"
Tb 2.476 4.082 1.708
Tb 3.372 4.799 5.274
Tb 4.132 4.799 8.939
Tb 3.285 1.646 3.619
Tb 6.157 4.082 3.029
Tb 5.348 1.646 1.118
Tb 2.721 -1.646 8.356
Tb 1.912 -4.082 6.445
Tb 4.783 -1.646 5.856
Tb 3.936 -4.799 0.536
Tb 4.696 -4.799 4.201
Tb 5.593 -4.082 7.767
Pm 4.316 7.027 2.369
Pm 3.752 -7.027 7.106
Nd 3.752 1.385 7.106
Nd 4.316 -1.385 2.369
Tm 2.227 0.756 0.458
Tm 1.663 -0.756 5.196
Tm 6.405 0.756 4.279
Tm 5.841 -0.756 9.016
```


No. 2
Crystalline LaAgIr2 at its relaxed geometry. Source: Alexandria via LeMat-Bulk, functional PBE-GGA.

## Properties
E = -6.260 eV/atom
offset from the most stable computed form = 201 meV/atom
formation enthalpy at 0 K = 0.12 eV/atom
size of the total moment = 0.00 μB/cell

extended XYZ file:
```
4
Lattice="3.091 0.000 0.000 0.000 4.063 0.000 0.000 0.000 6.135" Properties=species:S:1:pos:R:3 pbc="T T T"
La 0.000 0.000 0.000
Ag 0.000 0.000 3.067
Ir 1.546 2.031 1.712
Ir 1.546 2.031 4.422
```


No. 3
Crystalline KInGa2Ni at its relaxed geometry. Source: Alexandria via LeMat-Bulk, functional PBE-GGA.

## Properties
E = -3.219 eV/atom
formation enthalpy at 0 K = -0.09 eV/atom
size of the total moment = 0.00 μB/cell

extended XYZ file:
```
5
Lattice="4.778 0.000 0.000 0.000 4.778 0.000 0.000 0.000 5.076" Properties=species:S:1:pos:R:3 pbc="T T T"
K 0.000 0.000 0.000
In 2.389 2.389 0.000
Ga 0.000 2.389 2.538
Ga 2.389 0.000 2.538
Ni 2.389 2.389 2.538
```


No. 4
Crystalline AsIrPt3 at its relaxed geometry. Source: Alexandria via LeMat-Bulk, functional PBE-GGA.

## Properties
E = -5.294 eV/atom
offset from the most stable computed form = 0 meV/atom
formation enthalpy at 0 K = 1.03 eV/atom
size of the total moment = 0.00 μB/cell

extended XYZ file:
```
5
Lattice="4.586 0.000 0.000 0.000 4.586 0.000 0.000 0.000 4.586" Properties=species:S:1:pos:R:3 pbc="T T T"
As 0.000 0.000 0.000
Ir 2.293 2.293 2.293
Pt 0.000 0.000 2.293
Pt 0.000 2.293 0.000
Pt 2.293 0.000 0.000
```


No. 5
Crystalline Ba2ZrCd2O6 at its relaxed geometry. Source: Alexandria via LeMat-Bulk, functional PBE-GGA.

## Properties
E = -6.089 eV/atom
ΔE_f (raw) = -2092 meV/atom
size of the total moment = 0.00 μB/cell

extended XYZ file:
```
11
Lattice="3.210 1.853 5.686 -3.210 1.853 5.686 0.000 -3.707 5.686" Properties=species:S:1:pos:R:3 pbc="T T T"
Ba 0.000 0.000 3.521
Ba 0.000 0.000 13.537
Zr 0.000 0.000 0.000
Cd 0.000 0.000 7.038
Cd 0.000 0.000 10.019
O -1.815 -1.048 9.973
O 0.000 -2.096 7.084
O -1.815 1.048 7.084
O 1.815 -1.048 9.973
O 0.000 2.096 9.973
O 1.815 1.048 7.084
```


No. 6
Crystalline TaSi2Br at its relaxed geometry. Source: Alexandria via LeMat-Bulk, functional PBE-GGA.

## Properties
E = -5.906 eV/atom
offset from the most stable computed form = 167 meV/atom
ΔE_f (raw) = 187 meV/atom
size of the total moment = 0.00 μB/cell

extended XYZ file:
```
12
Lattice="3.106 0.000 0.000 -1.553 2.690 0.000 0.000 0.000 28.399" Properties=species:S:1:pos:R:3 pbc="T T T"
Ta 0.000 0.000 0.000
Ta 0.000 1.794 18.933
Ta 1.553 0.897 9.466
Si 0.000 0.000 13.370
Si 0.000 0.000 21.034
Si 0.000 1.794 3.904
Si 0.000 1.794 11.568
Si 1.553 0.897 2.101
Si 1.553 0.897 22.837
Br 0.000 0.000 7.513
Br 0.000 1.794 26.445
Br 1.553 0.897 16.979
```